# Ti3Ni2Pt

Ti3Ni2Pt after structural relaxation (PBE, Alexandria via LeMat-Bulk).

Cell lengths 4.516, 13.436, 2.845 Å; angles 90.00, 90.00, 90.00 degrees
Space group Cmmm (No. 65)
Inequivalent atoms, fractional coordinates:
Ti (0.000, 0.000, 0.000)
Ti (0.000, 0.321, 0.000)
Ni (0.000, 0.155, 0.500)
Pt (0.000, 0.500, 0.500)

Output
Total energy, eV per atom: -7.394
Formation enthalpy at 0 K, eV per atom: -0.51